# 1
First-principles (PBE) data for a relaxed TcAsRu2 crystal, as listed in Alexandria via LeMat-Bulk.

extended XYZ file:
```
4
Lattice="2.859 0.000 0.000 0.000 3.877 0.000 0.000 0.000 5.301" Properties=species:S:1:pos:R:3 pbc="T T T"
Tc 0.000 0.000 0.000
As 1.429 1.939 1.628
Ru 0.000 0.000 2.604
Ru 1.429 1.939 4.313
```

Values from the calculation:
The calculated total energy is -8.219 eV per atom. The value obtained for the total moment is 0.000 μB per formula unit. The value obtained for the energy of formation is 0.17 eV/atom.


# 2
First-principles (PBE) data for a relaxed Tc2AsRu crystal, as listed in Alexandria via LeMat-Bulk.

extended XYZ file:
```
4
Lattice="1.411 0.814 8.458 -1.411 0.814 8.458 0.000 -1.629 8.458" Properties=species:S:1:pos:R:3 pbc="T T T"
Tc 0.000 0.000 6.304
Tc 0.000 0.000 19.071
As 0.000 0.000 12.688
Ru 0.000 0.000 0.000
```

Values from the calculation:
The calculated total energy is -8.549 eV per atom. The value obtained for the total moment is 0.000 μB per formula unit. The value obtained for the energy of formation is 0.11 eV/atom.